The following is a DFT calculation (PBE) of PmSmB4 after structural relaxation.

CIF file:
```
data_PmSmB4
_cell_length_a 3.329
_cell_length_b 5.765
_cell_length_c 8.085
_cell_angle_alpha 90.00
_cell_angle_beta 90.00
_cell_angle_gamma 90.00
_symmetry_space_group_name_H-M 'I m m m'
_symmetry_Int_Tables_number 71
_symmetry_space_group_name_Hall '-I 2 2'
loop_
_atom_site_label
_atom_site_type_symbol
_atom_site_fract_x
_atom_site_fract_y
_atom_site_fract_z
Pm1 Pm 0.000 0.000 0.000
Sm1 Sm 0.000 0.000 0.500
B1 B 0.000 0.333 0.250
```

Output
The value obtained for the calculated total energy is -6.40 eV/atom. As for the total magnetization: 0.00 μB per atom.